! meta-GGA SCAN Ba3B2O6, PBEsol geometry; values from VASP
! crystal system	trigonal
! raw formation energy	-3014	meV per atom
! energy	-18.5499	eV/atom
! calculated density	5.02	Mg/m³
! total moment	0.00	μB per formula unit
&SYSTEM
  ibrav = 0, nat = 22, ntyp = 3
/
ATOMIC_SPECIES
Ba 137.33 Ba.upf
B 10.81 B.upf
O 16.00 O.upf
ATOMIC_POSITIONS crystal
Ba 0.098 0.402 0.750
Ba 0.250 0.902 0.598
Ba 0.598 0.250 0.902
Ba 0.402 0.750 0.098
Ba 0.750 0.098 0.402
Ba 0.902 0.598 0.250
B 0.887 0.887 0.887
B 0.613 0.613 0.613
B 0.113 0.113 0.113
B 0.387 0.387 0.387
O 0.031 0.737 0.893
O 0.263 0.107 0.969
O 0.469 0.607 0.763
O 0.237 0.531 0.393
O 0.107 0.969 0.263
O 0.393 0.237 0.531
O 0.607 0.763 0.469
O 0.763 0.469 0.607
O 0.893 0.031 0.737
O 0.531 0.393 0.237
O 0.737 0.893 0.031
O 0.969 0.263 0.107
CELL_PARAMETERS angstrom
7.085 -0.065 -0.058
0.773 7.043 -0.058
0.773 0.686 7.009

! meta-GGA SCAN BaB8O13, PBEsol geometry; values from VASP
! crystal system	tetragonal
! raw formation energy	-2734	meV per atom
! energy	-10.9156	eV/atom
! calculated density	2.89	Mg/m³
! total moment	0.00	μB per formula unit
&SYSTEM
  ibrav = 0, nat = 88, ntyp = 3
/
ATOMIC_SPECIES
Ba 137.33 Ba.upf
B 10.81 B.upf
O 16.00 O.upf
ATOMIC_POSITIONS crystal
Ba 0.000 0.540 0.500
Ba 0.460 0.000 0.750
Ba 0.540 0.000 0.250
Ba 0.000 0.460 0.000
B 0.783 0.072 0.998
B 0.217 0.928 0.498
B 0.072 0.783 0.752
B 0.072 0.217 0.748
B 0.928 0.783 0.248
B 0.217 0.072 0.002
B 0.783 0.928 0.502
B 0.928 0.217 0.252
B 0.740 0.808 0.036
B 0.260 0.192 0.536
B 0.808 0.740 0.714
B 0.808 0.260 0.786
B 0.192 0.740 0.286
B 0.260 0.808 0.964
B 0.740 0.192 0.464
B 0.192 0.260 0.214
B 0.634 0.558 0.112
B 0.366 0.442 0.612
B 0.558 0.634 0.638
B 0.558 0.366 0.862
B 0.442 0.634 0.362
B 0.366 0.558 0.888
B 0.634 0.442 0.388
B 0.442 0.366 0.138
B 0.870 0.870 0.875
B 0.130 0.870 0.125
B 0.870 0.130 0.625
B 0.130 0.130 0.375
B 0.282 0.718 0.625
B 0.282 0.282 0.875
B 0.718 0.718 0.375
B 0.718 0.282 0.125
O 0.703 0.962 0.055
O 0.297 0.038 0.555
O 0.962 0.703 0.695
O 0.962 0.297 0.805
O 0.038 0.703 0.305
O 0.297 0.962 0.945
O 0.703 0.038 0.445
O 0.038 0.297 0.195
O 0.849 0.030 0.909
O 0.151 0.970 0.409
O 0.030 0.849 0.841
O 0.030 0.151 0.659
O 0.970 0.849 0.159
O 0.151 0.030 0.091
O 0.849 0.970 0.591
O 0.970 0.151 0.341
O 0.833 0.761 0.959
O 0.167 0.239 0.459
O 0.761 0.833 0.791
O 0.761 0.167 0.709
O 0.239 0.833 0.209
O 0.167 0.761 0.041
O 0.833 0.239 0.541
O 0.239 0.167 0.291
O 0.748 0.451 0.120
O 0.252 0.549 0.620
O 0.451 0.748 0.630
O 0.451 0.252 0.870
O 0.549 0.748 0.370
O 0.252 0.451 0.880
O 0.748 0.549 0.380
O 0.549 0.252 0.130
O 0.790 0.220 0.033
O 0.210 0.780 0.533
O 0.220 0.790 0.717
O 0.220 0.210 0.783
O 0.780 0.790 0.283
O 0.210 0.220 0.967
O 0.790 0.780 0.467
O 0.780 0.210 0.217
O 0.658 0.710 0.097
O 0.342 0.290 0.597
O 0.710 0.658 0.653
O 0.710 0.342 0.847
O 0.290 0.658 0.347
O 0.342 0.710 0.903
O 0.658 0.290 0.403
O 0.290 0.342 0.153
O 0.519 0.481 0.625
O 0.519 0.519 0.875
O 0.481 0.481 0.375
O 0.481 0.519 0.125
CELL_PARAMETERS angstrom
-5.070 6.359 3.043
-3.285 1.185 -7.950
-9.463 -8.788 2.600

! meta-GGA SCAN Ba2B6PbO12, PBEsol geometry; values from VASP
! crystal system	trigonal
! raw formation energy	-2697	meV per atom
! energy	-15.7553	eV/atom
! calculated density	4.39	Mg/m³
! total moment	0.00	μB per formula unit
&SYSTEM
  ibrav = 0, nat = 42, ntyp = 4
/
ATOMIC_SPECIES
Ba 137.33 Ba.upf
B 10.81 B.upf
Pb 207.20 Pb.upf
O 16.00 O.upf
ATOMIC_POSITIONS crystal
Ba 0.851 0.851 0.446
Ba 0.351 0.351 0.946
Ba 0.149 0.149 0.554
Ba 0.649 0.649 0.054
B 0.365 0.500 0.381
B 0.754 0.365 0.381
B 0.500 0.754 0.381
B 0.000 0.865 0.881
B 0.254 0.000 0.881
B 0.865 0.254 0.881
B 0.635 0.500 0.619
B 0.246 0.635 0.619
B 0.500 0.246 0.619
B 0.000 0.135 0.119
B 0.746 0.000 0.119
B 0.135 0.746 0.119
Pb 0.750 0.750 0.750
Pb 0.250 0.250 0.250
O 0.333 0.711 0.377
O 0.579 0.333 0.377
O 0.711 0.579 0.377
O 0.211 0.833 0.877
O 0.079 0.211 0.877
O 0.833 0.079 0.877
O 0.667 0.289 0.623
O 0.421 0.667 0.623
O 0.289 0.421 0.623
O 0.789 0.167 0.123
O 0.921 0.789 0.123
O 0.167 0.921 0.123
O 0.467 0.950 0.388
O 0.196 0.467 0.388
O 0.950 0.196 0.388
O 0.450 0.967 0.888
O 0.696 0.450 0.888
O 0.967 0.696 0.888
O 0.533 0.050 0.612
O 0.804 0.533 0.612
O 0.050 0.804 0.612
O 0.550 0.033 0.112
O 0.304 0.550 0.112
O 0.033 0.304 0.112
CELL_PARAMETERS angstrom
7.214 0.000 0.000
3.607 6.248 0.000
3.607 2.083 12.412

! meta-GGA SCAN Ba3PrB9O18, PBEsol geometry; values from VASP
! crystal system	hexagonal
! raw formation energy	-2937	meV per atom
! energy	-13.9369	eV/atom
! calculated density	4.00	Mg/m³
! total moment	0.00	μB per formula unit
&SYSTEM
  ibrav = 0, nat = 62, ntyp = 4
/
ATOMIC_SPECIES
Ba 137.33 Ba.upf
Pr 140.91 Pr.upf
B 10.81 B.upf
O 16.00 O.upf
ATOMIC_POSITIONS crystal
Ba 0.667 0.333 0.633
Ba 0.333 0.667 0.367
Ba 0.333 0.667 0.133
Ba 0.667 0.333 0.867
Ba 0.000 0.000 0.750
Ba 0.000 0.000 0.250
Pr 0.000 0.000 0.500
Pr 0.000 0.000 0.000
B 0.160 0.452 0.587
B 0.840 0.548 0.413
B 0.548 0.708 0.587
B 0.840 0.548 0.087
B 0.452 0.292 0.413
B 0.160 0.452 0.913
B 0.292 0.840 0.587
B 0.452 0.292 0.087
B 0.708 0.160 0.413
B 0.548 0.708 0.913
B 0.708 0.160 0.087
B 0.292 0.840 0.913
B 0.378 0.495 0.750
B 0.622 0.505 0.250
B 0.505 0.883 0.750
B 0.495 0.117 0.250
B 0.117 0.622 0.750
B 0.883 0.378 0.250
O 0.167 0.458 0.750
O 0.833 0.542 0.250
O 0.542 0.709 0.750
O 0.458 0.291 0.250
O 0.291 0.833 0.750
O 0.709 0.167 0.250
O 0.669 0.082 0.750
O 0.331 0.918 0.250
O 0.918 0.587 0.750
O 0.082 0.413 0.250
O 0.413 0.331 0.750
O 0.587 0.669 0.250
O 0.996 0.253 0.587
O 0.004 0.747 0.413
O 0.747 0.742 0.587
O 0.004 0.747 0.087
O 0.253 0.258 0.413
O 0.996 0.253 0.913
O 0.258 0.004 0.587
O 0.253 0.258 0.087
O 0.742 0.996 0.413
O 0.747 0.742 0.913
O 0.742 0.996 0.087
O 0.258 0.004 0.913
O 0.374 0.499 0.585
O 0.626 0.501 0.415
O 0.501 0.875 0.585
O 0.626 0.501 0.085
O 0.499 0.125 0.415
O 0.374 0.499 0.915
O 0.125 0.626 0.585
O 0.499 0.125 0.085
O 0.875 0.374 0.415
O 0.501 0.875 0.915
O 0.875 0.374 0.085
O 0.125 0.626 0.915
CELL_PARAMETERS angstrom
7.238 0.000 0.000
-3.619 6.269 0.000
0.000 0.000 17.177

! meta-GGA SCAN BaB2S3O13, PBEsol geometry; values from VASP
! crystal system	orthorhombic
! raw formation energy	-2075	meV per atom
! energy	-10.7223	eV/atom
! calculated density	3.20	Mg/m³
! total moment	0.00	μB per formula unit
&SYSTEM
  ibrav = 0, nat = 76, ntyp = 4
/
ATOMIC_SPECIES
Ba 137.33 Ba.upf
B 10.81 B.upf
S 32.06 S.upf
O 16.00 O.upf
ATOMIC_POSITIONS crystal
Ba 0.025 0.750 0.783
Ba 0.475 0.750 0.283
Ba 0.975 0.250 0.217
Ba 0.525 0.250 0.717
B 0.438 0.850 0.082
B 0.062 0.650 0.582
B 0.562 0.350 0.918
B 0.938 0.150 0.418
B 0.562 0.150 0.918
B 0.938 0.350 0.418
B 0.438 0.650 0.082
B 0.062 0.850 0.582
S 0.556 0.936 0.651
S 0.944 0.564 0.151
S 0.444 0.436 0.349
S 0.056 0.064 0.849
S 0.444 0.064 0.349
S 0.056 0.436 0.849
S 0.556 0.564 0.651
S 0.944 0.936 0.151
S 0.637 0.750 0.955
S 0.863 0.750 0.455
S 0.363 0.250 0.045
S 0.137 0.250 0.545
O 0.031 0.750 0.620
O 0.469 0.750 0.120
O 0.969 0.250 0.380
O 0.531 0.250 0.880
O 0.520 0.848 0.999
O 0.980 0.652 0.499
O 0.480 0.348 0.001
O 0.020 0.152 0.501
O 0.480 0.152 0.001
O 0.020 0.348 0.501
O 0.520 0.652 0.999
O 0.980 0.848 0.499
O 0.523 0.863 0.716
O 0.977 0.637 0.216
O 0.477 0.363 0.284
O 0.023 0.137 0.784
O 0.477 0.137 0.284
O 0.023 0.363 0.784
O 0.523 0.637 0.716
O 0.977 0.863 0.216
O 0.505 0.750 0.878
O 0.995 0.750 0.378
O 0.495 0.250 0.122
O 0.005 0.250 0.622
O 0.960 0.750 0.952
O 0.540 0.750 0.452
O 0.040 0.250 0.048
O 0.460 0.250 0.548
O 0.482 0.046 0.667
O 0.018 0.454 0.167
O 0.518 0.546 0.333
O 0.982 0.954 0.833
O 0.518 0.954 0.333
O 0.982 0.546 0.833
O 0.482 0.454 0.667
O 0.018 0.046 0.167
O 0.882 0.935 0.622
O 0.618 0.565 0.122
O 0.118 0.435 0.378
O 0.382 0.065 0.878
O 0.118 0.065 0.378
O 0.382 0.435 0.878
O 0.882 0.565 0.622
O 0.618 0.935 0.122
O 0.378 0.894 0.581
O 0.122 0.606 0.081
O 0.622 0.394 0.419
O 0.878 0.106 0.919
O 0.622 0.106 0.419
O 0.878 0.394 0.919
O 0.378 0.606 0.581
O 0.122 0.894 0.081
CELL_PARAMETERS angstrom
-2.936 -3.327 -0.202
-0.446 -0.364 12.503
-12.948 11.435 -0.129

! meta-GGA SCAN BaB4Sb2O12, PBEsol geometry; values from VASP
! crystal system	monoclinic
! raw formation energy	-2370	meV per atom
! energy	-13.8733	eV/atom
! calculated density	4.54	Mg/m³
! total moment	0.00	μB per formula unit
&SYSTEM
  ibrav = 0, nat = 38, ntyp = 4
/
ATOMIC_SPECIES
Ba 137.33 Ba.upf
B 10.81 B.upf
Sb 121.76 Sb.upf
O 16.00 O.upf
ATOMIC_POSITIONS crystal
Ba 0.966 0.034 0.750
Ba 0.034 0.966 0.250
B 0.409 0.355 0.608
B 0.645 0.591 0.892
B 0.591 0.645 0.392
B 0.355 0.409 0.108
B 0.820 0.477 0.620
B 0.523 0.180 0.880
B 0.180 0.523 0.380
B 0.477 0.820 0.120
Sb 0.307 0.693 0.750
Sb 0.693 0.307 0.250
Sb 0.500 0.000 0.500
Sb 0.000 0.500 0.000
O 0.517 0.879 0.650
O 0.121 0.483 0.850
O 0.483 0.121 0.350
O 0.879 0.517 0.150
O 0.318 0.129 0.562
O 0.871 0.682 0.938
O 0.682 0.871 0.438
O 0.129 0.318 0.062
O 0.258 0.412 0.646
O 0.588 0.742 0.854
O 0.742 0.588 0.354
O 0.412 0.258 0.146
O 0.638 0.515 0.623
O 0.485 0.362 0.877
O 0.362 0.485 0.377
O 0.515 0.638 0.123
O 0.792 0.268 0.586
O 0.732 0.208 0.914
O 0.208 0.732 0.414
O 0.268 0.792 0.086
O 0.028 0.668 0.658
O 0.332 0.972 0.842
O 0.972 0.332 0.342
O 0.668 0.028 0.158
CELL_PARAMETERS angstrom
-6.406 -2.513 -0.155
4.817 -2.886 -3.980
3.060 -5.038 9.469

! meta-GGA SCAN Ba2Sc2B4O11, PBEsol geometry; values from VASP
! crystal system	monoclinic
! raw formation energy	-3186	meV per atom
! energy	-14.0191	eV/atom
! calculated density	4.17	Mg/m³
! total moment	0.00	μB per formula unit
&SYSTEM
  ibrav = 0, nat = 38, ntyp = 4
/
ATOMIC_SPECIES
Ba 137.33 Ba.upf
Sc 44.96 Sc.upf
B 10.81 B.upf
O 16.00 O.upf
ATOMIC_POSITIONS crystal
Ba 0.576 0.471 0.804
Ba 0.076 0.804 0.471
Ba 0.924 0.196 0.529
Ba 0.424 0.529 0.196
Sc 0.500 0.000 0.000
Sc 0.000 0.500 0.000
Sc 0.500 0.000 0.500
Sc 0.000 0.000 0.000
B 0.413 0.280 0.618
B 0.087 0.382 0.720
B 0.255 0.829 0.831
B 0.745 0.171 0.169
B 0.245 0.169 0.171
B 0.755 0.831 0.829
B 0.587 0.720 0.382
B 0.913 0.618 0.280
O 0.502 0.786 0.235
O 0.270 0.334 0.068
O 0.203 0.072 0.103
O 0.262 0.096 0.338
O 0.519 0.763 0.504
O 0.238 0.662 0.904
O 0.770 0.068 0.334
O 0.297 0.897 0.928
O 0.738 0.904 0.662
O 0.250 0.418 0.582
O 0.481 0.237 0.496
O 0.797 0.928 0.897
O 0.750 0.582 0.418
O 0.981 0.496 0.237
O 0.703 0.103 0.072
O 0.230 0.932 0.666
O 0.998 0.765 0.214
O 0.498 0.214 0.765
O 0.002 0.235 0.786
O 0.762 0.338 0.096
O 0.019 0.504 0.763
O 0.730 0.666 0.932
CELL_PARAMETERS angstrom
6.315 0.027 0.016
1.432 9.172 0.008
1.432 4.401 8.048